# Pu2TaH | the Alexandria database | PBE-GGA | relaxed
data_Pu2TaH
_chemical_formula_sum 'Pu2 Ta1 H1'
_symmetry_space_group_name_H-M 'P 4/m m m'
_symmetry_Int_Tables_number 123
_symmetry_space_group_name_Hall '-P 4 2'
_cell_length_a 3.064
_cell_length_b 3.064
_cell_length_c 7.677
_cell_angle_alpha 90.00
_cell_angle_beta 90.00
_cell_angle_gamma 90.00
loop_
_atom_site_label
_atom_site_fract_x
_atom_site_fract_y
_atom_site_fract_z
Pu1 0.000 0.000 0.204
Ta1 0.500 0.500 0.500
H1 0.500 0.500 0.000
# VASP energy = -43.17 eV for the cell shown
# magnetic moment = 10.8 μB/f.u.
# energy above the most stable polymorph in this dataset = 0.000 eV/atom